1.
Computed, not measured: a relaxed structure of Sm2ThBi2Te2 at the PBE level of DFT.

As for the total energy: -4.963 eV/atom. The symmetry is I4/mmm.

Cell: 6.1260 6.1260 8.8310 Å, 110.29 110.29 90.00°
Element x y z (fractional)
1 Sm 0.6133 0.6133 0.2267
2 Te 0.1992 0.1992 0.3985
3 Bi 0.0000 0.5000 0.0000
4 Th 0.0000 0.0000 0.0000
5 Sm 0.3867 0.3867 0.7733
6 Te 0.8008 0.8008 0.6015
7 Bi 0.5000 0.0000 0.0000



2.
Computed, not measured: a relaxed structure of TbCdAg3 at the PBE level of DFT.

Its energy above the most stable polymorph in this dataset is 26.1 meV/atom. As for the formation enthalpy at 0 K: -18 kJ/mol of atoms. The symmetry is P2_1/m.

Cell: 5.3888 5.7255 9.0200 Å, 90.00 50.09 90.00°
Element x y z (fractional)
1 Tb 0.4874 0.2500 0.6550
2 Ag 0.1759 0.4964 0.1870
3 Ag 0.1759 0.0036 0.1870
4 Ag 0.1956 0.2500 0.4586
5 Tb 0.5126 0.7500 0.3450
6 Cd 0.8092 0.2500 0.0980
7 Ag 0.8044 0.7500 0.5414
8 Cd 0.1908 0.7500 0.9020
9 Ag 0.8241 0.9964 0.8130
10 Ag 0.8241 0.5036 0.8130



3.
Computed, not measured: a relaxed structure of Cs6RbO2 at the PBE level of DFT.

As for the total energy: -2.419 eV/atom. The symmetry is C2/m.

Cell: 6.0976 8.0252 13.9012 Å, 68.38 77.33 67.67°
Element x y z (fractional)
1 Cs 0.3104 0.3384 0.0407
2 Cs 0.0174 0.8337 0.1315
3 O 0.8459 0.2420 0.0663
4 Cs 0.6896 0.6616 0.9593
5 Rb 0.0000 0.5000 0.5000
6 Cs 0.7535 0.2188 0.2743
7 Cs 0.2465 0.7812 0.7257
8 O 0.1541 0.7580 0.9337
9 Cs 0.9826 0.1663 0.8685



4.
Computed, not measured: a relaxed structure of Nd3BeCrS7 at the PBE level of DFT.

As for the total energy: -6.299 eV/atom. The symmetry is P6_3.

Cell: 9.8765 9.8765 6.1018 Å, 90.00 90.00 120.00°
Element x y z (fractional)
1 Nd 0.6074 0.8465 0.7701
2 Cr 0.0000 0.0000 0.9498
3 S 0.4762 0.5810 0.4846
4 S 0.4190 0.8952 0.4846
5 S 0.6667 0.3333 0.5119
6 Nd 0.3926 0.1535 0.2701
7 Nd 0.1535 0.7609 0.7701
8 Be 0.3333 0.6667 0.3584
9 S 0.1321 0.2201 0.1945
10 S 0.0881 0.8679 0.1945
11 Nd 0.2391 0.3926 0.7701
12 S 0.8952 0.4762 0.9846
13 Nd 0.8465 0.2391 0.2701
14 S 0.3333 0.6667 0.0119
15 Nd 0.7609 0.6074 0.2701
16 S 0.8679 0.7799 0.6945
17 S 0.5238 0.4190 0.9846
18 S 0.7799 0.9119 0.1945
19 S 0.1048 0.5238 0.4846
20 Be 0.6667 0.3333 0.8584
21 Cr 0.0000 0.0000 0.4498
22 S 0.9119 0.1321 0.6945
23 S 0.5810 0.1048 0.9846
24 S 0.2201 0.0881 0.6945



5.
Computed, not measured: a relaxed structure of KTa2Ir at the PBE level of DFT.

Its energy above the most stable polymorph in this dataset is 122.0 meV/atom. As for the formation enthalpy at 0 K: 43 kJ/mol of atoms. The symmetry is Pmmm.

Cell: 2.8593 3.9492 8.6666 Å, 90.00 90.00 90.00°
Element x y z (fractional)
1 Ta 0.0000 0.0000 0.1004
2 Ir 0.5000 0.5000 0.2500
3 Ta 0.0000 0.0000 0.3996
4 K 0.5000 0.5000 0.7500



6.
Computed, not measured: a relaxed structure of Na4HoSc3Te8 at the PBE level of DFT.

As for the total energy: -4.588 eV/atom. The symmetry is R-3m.

Cell: 8.5697 9.0195 8.5700 Å, 118.39 120.00 90.00°
Element x y z (fractional)
1 Na 0.0000 0.0000 0.5000
2 Te 0.7396 0.7185 0.4792
3 Te 0.7540 0.2759 0.5079
4 Te 0.2677 0.2758 0.0216
5 Ho 0.0000 0.5000 0.0000
6 Sc 0.0000 0.5000 0.5000
7 Na 0.5000 0.0000 0.5000
8 Te 0.7323 0.7242 0.9784
9 Na 0.0000 0.0000 0.0000
10 Te 0.2604 0.2815 0.5208
11 Te 0.2461 0.7242 0.9784
12 Te 0.2460 0.7241 0.4921
13 Sc 0.5000 0.5000 0.5000
14 Sc 0.5000 0.5000 0.0000
15 Te 0.7539 0.2758 0.0216
16 Na 0.5000 0.0000 0.0000



7.
Computed, not measured: a relaxed structure of YIrSe2 at the PBE level of DFT.

Its energy above the most stable polymorph in this dataset is 0.0 meV/atom. The symmetry is Immm.

Cell: 6.7924 6.7924 6.7924 Å, 147.55 140.68 51.87°
Element x y z (fractional)
1 Ir 0.2500 0.7500 0.5000
2 Se 0.3912 0.3912 0.0000
3 Y 0.7500 0.2500 0.5000
4 Se 0.1088 0.1088 0.0000



8.
Computed, not measured: a relaxed structure of Tb2NdScP4 at the PBE level of DFT.

As for the formation enthalpy at 0 K: -147 kJ/mol of atoms. The symmetry is P2/m.

Cell: 4.0092 6.9262 6.9350 Å, 109.45 90.00 90.00°
Element x y z (fractional)
1 P 0.0000 0.7609 0.2505
2 P 0.0000 0.2391 0.7495
3 P 0.5000 0.7631 0.7575
4 P 0.5000 0.2369 0.2425
5 Tb 0.0000 0.5000 0.5000
6 Nd 0.5000 0.5000 0.0000
7 Tb 0.5000 0.0000 0.5000
8 Sc 0.0000 0.0000 0.0000



9.
Computed, not measured: a relaxed structure of CaZr2Cl at the PBE level of DFT.

Its energy above the most stable polymorph in this dataset is 197.3 meV/atom. The symmetry is C2/m.

Cell: 6.7168 6.7168 5.0078 Å, 67.78 67.78 27.43°
Element x y z (fractional)
1 Cl 0.2500 0.2500 0.2500
2 Zr 0.5360 0.5360 0.4718
3 Zr 0.9640 0.9640 0.0282
4 Ca 0.7500 0.7500 0.7500



10.
Computed, not measured: a relaxed structure of ScZnIn at the PBE level of DFT.

As for the formation enthalpy at 0 K: -20 kJ/mol of atoms. The symmetry is P4/nmm.

Cell: 4.1692 4.1692 7.3101 Å, 90.00 90.00 90.00°
Element x y z (fractional)
1 Sc 0.0000 0.5000 0.1571
2 Sc 0.5000 0.0000 0.8429
3 In 0.5000 0.5000 0.5000
4 In 0.0000 0.0000 0.5000
5 Zn 0.5000 0.0000 0.2220
6 Zn 0.0000 0.5000 0.7780



11.
Computed, not measured: a relaxed structure of NaSr8Ca2 at the PBE level of DFT.

As for the formation enthalpy at 0 K: 2 kJ/mol of atoms. The symmetry is C2/m.

Cell: 5.8923 9.2716 11.0101 Å, 104.63 105.52 90.00°
Element x y z (fractional)
1 Sr 0.4060 0.5477 0.8120
2 Sr 0.5940 0.4523 0.1880
3 Sr 0.9540 0.2705 0.9080
4 Ca 0.7743 0.3678 0.5485
5 Sr 0.6821 0.9116 0.3643
6 Ca 0.2257 0.6322 0.4515
7 Sr 0.8605 0.8115 0.7209
8 Sr 0.1395 0.1885 0.2791
9 Na 0.5000 0.0000 0.0000
10 Sr 0.3179 0.0884 0.6357
11 Sr 0.0460 0.7295 0.0920



12.
Computed, not measured: a relaxed structure of Pm2YIn at the PBE level of DFT.

Its energy above the most stable polymorph in this dataset is 148.6 meV/atom. As for the formation enthalpy at 0 K: -12 kJ/mol of atoms. The symmetry is F-43m.

Cell: 5.5395 5.5395 5.5412 Å, 60.01 60.01 60.00°
Element x y z (fractional)
1 Pm 0.2499 0.2499 0.2503
2 Y 0.5000 0.5000 0.5000
3 Pm 0.0001 0.0001 0.9998
4 In 0.7501 0.7501 0.7498